Entry from OQMD: an optimized crystal structure of NdTe2PbAuS (GGA-PBE).

POSCAR file:
```
NdTe2PbAuS
1.0
-3.057 5.188 4.782
-1.069 -6.386 -4.147
2.987 -5.891 8.302
Au Nd Pb S Te
2 2 2 2 4
direct
0.478 0.522 0.250
0.522 0.478 0.750
0.000 0.000 0.000
0.000 0.000 0.500
0.730 0.270 0.250
0.270 0.730 0.750
0.078 0.922 0.250
0.922 0.078 0.750
0.346 0.654 0.062
0.346 0.654 0.438
0.654 0.346 0.562
0.654 0.346 0.938
```

Summary:
- Electronic total energy: -4.487 eV per atom
- Magnetization: 0.00 μB per formula unit


Entry from OQMD: an optimized crystal structure of NdTePbAuSe2 (GGA-PBE).

POSCAR file:
```
NdTePbAuSe2
1.0
-6.030 4.354 -0.762
4.827 -4.692 -3.253
-6.674 -8.764 2.736
Au Nd Pb Se Te
2 2 2 4 2
direct
0.471 0.529 0.250
0.529 0.471 0.750
0.000 0.000 0.000
0.000 0.000 0.500
0.788 0.212 0.250
0.212 0.788 0.750
0.360 0.640 0.063
0.360 0.640 0.437
0.640 0.360 0.563
0.640 0.360 0.937
0.103 0.897 0.250
0.897 0.103 0.750
```

Summary:
- Electronic total energy: -4.518 eV per atom
- Magnetization: 0.00 μB per formula unit


Entry from OQMD: an optimized crystal structure of Nd2SnPbAu2 (GGA-PBE).

POSCAR file:
```
Nd2SnPbAu2
1.0
4.833 0.000 0.000
-2.417 4.186 0.000
0.000 0.000 7.704
Au Nd Pb Sn
2 2 1 1
direct
0.000 0.000 0.183
0.333 0.667 0.662
0.667 0.333 0.492
0.667 0.333 0.997
0.000 0.000 0.772
0.333 0.667 0.267
```

Summary:
- Electronic total energy: -4.712 eV per atom
- Magnetization: 0.00 μB per formula unit


Entry from OQMD: an optimized crystal structure of NdTe3PbAu (GGA-PBE).

POSCAR file:
```
NdTe3PbAu
1.0
8.428 0.000 0.000
0.000 4.389 0.000
-3.056 0.000 10.390
Au Nd Pb Te
2 2 2 6
direct
0.599 0.250 0.095
0.401 0.750 0.905
0.798 0.750 0.323
0.202 0.250 0.677
0.231 0.750 0.206
0.769 0.250 0.794
0.784 0.750 0.031
0.535 0.250 0.333
0.082 0.250 0.368
0.918 0.750 0.632
0.465 0.750 0.667
0.216 0.250 0.969
```

Summary:
- Electronic total energy: -4.245 eV per atom
- Magnetization: 0.00 μB per formula unit


Entry from OQMD: an optimized crystal structure of NdTe3PbAu (GGA-PBE).

POSCAR file:
```
NdTe3PbAu
1.0
-11.779 -4.117 7.639
1.702 -4.010 0.464
5.369 3.452 10.138
Au Nd Pb Te
4 4 4 12
direct
0.991 0.250 0.095
0.491 0.250 0.405
0.509 0.750 0.595
0.009 0.750 0.905
0.495 0.750 0.179
0.995 0.750 0.321
0.005 0.250 0.679
0.505 0.250 0.821
0.785 0.750 0.060
0.285 0.750 0.440
0.715 0.250 0.560
0.215 0.250 0.940
0.616 0.250 0.055
0.122 0.750 0.113
0.349 0.250 0.249
0.849 0.250 0.251
0.622 0.750 0.387
0.116 0.250 0.445
0.884 0.750 0.555
0.378 0.250 0.613
0.151 0.750 0.749
0.651 0.750 0.751
0.878 0.250 0.887
0.384 0.750 0.945
```

Summary:
- Electronic total energy: -4.249 eV per atom
- Magnetization: 0.00 μB per formula unit


Entry from OQMD: an optimized crystal structure of NdTe3PbAu (GGA-PBE).

POSCAR file:
```
NdTe3PbAu
1.0
0.450 2.360 -7.364
-2.277 1.604 7.228
10.216 4.783 2.157
Au Nd Pb Te
2 2 2 6
direct
0.470 0.530 0.250
0.530 0.470 0.750
0.000 0.000 0.000
0.000 0.000 0.500
0.772 0.228 0.250
0.228 0.772 0.750
0.350 0.650 0.060
0.094 0.906 0.250
0.350 0.650 0.440
0.650 0.350 0.560
0.906 0.094 0.750
0.650 0.350 0.940
```

Summary:
- Electronic total energy: -4.263 eV per atom
- Magnetization: 0.00 μB per formula unit


Entry from OQMD: an optimized crystal structure of NdPd4Au (GGA-PBE).

POSCAR file:
```
NdPd4Au
1.0
0.358 -5.357 -0.147
-4.342 -3.009 0.968
-2.316 -2.738 -3.998
Au Nd Pd
1 1 4
direct
0.000 0.000 0.000
0.750 0.750 0.750
0.876 0.375 0.375
0.375 0.876 0.375
0.375 0.375 0.375
0.375 0.375 0.876
```

Summary:
- Electronic total energy: -5.376 eV per atom
- Magnetization: 0.01 μB per formula unit


Entry from OQMD: an optimized crystal structure of Nd2PdAu2 (GGA-PBE).

POSCAR file:
```
Nd2PdAu2
1.0
-1.595 -0.141 5.522
1.142 -3.055 4.734
8.295 8.174 -1.434
Au Nd Pd
4 4 2
direct
0.149 0.149 0.048
0.042 0.042 0.390
0.958 0.958 0.610
0.851 0.851 0.952
0.494 0.494 0.160
0.318 0.318 0.386
0.682 0.682 0.614
0.506 0.506 0.840
0.799 0.799 0.192
0.201 0.201 0.808
```

Summary:
- Electronic total energy: -5.065 eV per atom
- Magnetization: 0.00 μB per formula unit


Question: Which formula does entry 8 have?
Answer: Nd2PdAu2


Please write out number 4 again, unchanged.
Entry from OQMD: an optimized crystal structure of NdTe3PbAu (GGA-PBE).

POSCAR file:
```
NdTe3PbAu
1.0
8.428 0.000 0.000
0.000 4.389 0.000
-3.056 0.000 10.390
Au Nd Pb Te
2 2 2 6
direct
0.599 0.250 0.095
0.401 0.750 0.905
0.798 0.750 0.323
0.202 0.250 0.677
0.231 0.750 0.206
0.769 0.250 0.794
0.784 0.750 0.031
0.535 0.250 0.333
0.082 0.250 0.368
0.918 0.750 0.632
0.465 0.750 0.667
0.216 0.250 0.969
```

Summary:
- Electronic total energy: -4.245 eV per atom
- Magnetization: 0.00 μB per formula unit


Question: Which of these has the highest electronic total energy?
Answer: number 4